A relaxed structure of AlSbIr4, computed with PBE.

a b c (Å): 5.264 5.264 5.264
angles (deg): 60.00 60.00 60.00
Sites, in units of the cell vectors:
Al: 0.000 0.000 0.000
Sb: 0.750 0.750 0.750
Ir: 0.876 0.375 0.375
Ir: 0.375 0.375 0.876
Ir: 0.375 0.876 0.375
Ir: 0.375 0.375 0.375

Summary:
Magnetic moment: 0.00 μB/f.u.
Formation energy (no corrections): 0.283 eV/atom